A plane-wave DFT calculation with GGA-PBEsol was carried out for an optimized crystal structure of RePt2Cl.

Properties
DFT total energy   -6.714 eV/atom
V   65.1 Å³ per cell
Energy relative to the lowest polymorph listed for this composition   533.0 meV per atom
Total moment   0.00 μB per formula unit
Formation energy without anion corrections   2.4 eV per formula unit

```
RePt2Cl
1.0
2.716 0.000 0.000
0.000 4.309 0.000
-1.358 -2.155 5.564
Re Pt Cl
1 2 1
direct
0.500 0.000 0.000
0.794 0.794 0.588
0.206 0.206 0.412
0.000 0.500 0.000
```


A plane-wave DFT calculation with GGA-PBEsol was carried out for an optimized crystal structure of RePt2Cl.

Properties
DFT total energy   -7.247 eV/atom
V   63.0 Å³ per cell
Energy relative to the lowest polymorph listed for this composition   0.0 meV per atom
Total moment   0.00 μB per formula unit
Formation energy without anion corrections   0.3 eV per formula unit

```
RePt2Cl
1.0
2.787 0.000 0.013
0.000 2.824 0.000
-0.046 0.000 8.000
Re Pt Cl
1 2 1
direct
0.500 0.500 0.000
0.999 0.000 0.772
0.001 0.000 0.228
0.000 0.500 0.500
```


A plane-wave DFT calculation with GGA-PBEsol was carried out for an optimized crystal structure of RePt2Cl.

Properties
DFT total energy   -7.062 eV/atom
V   77.4 Å³ per cell
Energy relative to the lowest polymorph listed for this composition   184.5 meV per atom
Total moment   0.00 μB per formula unit
Formation energy without anion corrections   1.0 eV per formula unit

```
RePt2Cl
1.0
2.788 0.000 0.000
-1.394 4.374 0.085
0.000 -1.131 6.329
Re Pt Cl
1 2 1
direct
0.539 0.078 0.419
0.049 0.097 0.073
0.797 0.593 0.285
0.116 0.231 0.722
```


What did the first record say?
A plane-wave DFT calculation with GGA-PBEsol was carried out for an optimized crystal structure of RePt2Cl.

Properties
DFT total energy   -6.714 eV/atom
V   65.1 Å³ per cell
Energy relative to the lowest polymorph listed for this composition   533.0 meV per atom
Total moment   0.00 μB per formula unit
Formation energy without anion corrections   2.4 eV per formula unit

```
RePt2Cl
1.0
2.716 0.000 0.000
0.000 4.309 0.000
-1.358 -2.155 5.564
Re Pt Cl
1 2 1
direct
0.500 0.000 0.000
0.794 0.794 0.588
0.206 0.206 0.412
0.000 0.500 0.000
```